No. 1
## Mg2AgP (PBE-GGA)

Data for Mg2AgP after structural relaxation.

Summary:
- E: -0.222 Ry/atom
- Total magnetic moment: 0.000 Bohr magnetons per cell
- SG: P4mm, No. 99

Geometry as POSCAR:
```
Mg2AgP
1.0
-1.9096 -3.0415 -0.9364
2.6558 -0.9214 -2.4232
2.5879 -2.8292 3.9121
Mg P Ag
2 1 1
Direct
0.5000 0.5000 0.2948
0.0000 0.0000 0.9633
0.0000 0.0000 0.4583
0.5000 0.5000 0.7836
```

No. 2
## Mg2AgP (PBE-GGA)

Data for Mg2AgP after structural relaxation.

Summary:
- E: -0.231 Ry/atom
- Total magnetic moment: 0.000 Bohr magnetons per cell
- SG: Amm2, No. 38

Geometry as POSCAR:
```
Mg2AgP
1.0
5.2697 -0.3400 -0.4689
4.1183 3.3053 -0.4689
0.3603 0.1138 3.9699
Mg Ag P
2 1 1
Direct
0.9832 0.9832 0.8750
0.2722 0.2722 0.3750
0.7045 0.7045 0.8750
0.5401 0.5401 0.3750
```

No. 3
## MgAgP2 (PBE-GGA)

Data for MgAgP2 after structural relaxation.

Summary:
- E: -0.257 Ry/atom
- Total magnetic moment: 0.000 Bohr magnetons per cell
- SG: F-43m, No. 216

Geometry as POSCAR:
```
MgAgP2
1.0
-3.2806 1.1314 -3.0113
-2.7145 -3.2564 -1.7714
-4.4218 -0.2234 1.2281
Mg P Ag
1 2 1
Direct
0.2500 0.2500 0.2500
0.7500 0.7500 0.7500
0.0000 0.0000 0.0000
0.5000 0.5000 0.5000
```

No. 4
## MgAgP2 (PBE-GGA)

Data for MgAgP2 after structural relaxation.

Summary:
- E: -0.273 Ry/atom
- Total magnetic moment: 0.000 Bohr magnetons per cell
- SG: I-42d, No. 122

Geometry as POSCAR:
```
MgAgP2
1.0
-0.7548 4.3097 0.0326
-4.1160 -0.7306 1.2919
-0.0779 2.1442 8.3738
P Ag Mg
4 2 2
Direct
0.1124 0.6250 0.2500
0.6376 0.1250 0.2500
0.8750 0.8876 0.7500
0.3750 0.3624 0.7500
0.7500 0.2500 0.5000
0.0000 0.0000 0.0000
0.5000 0.5000 0.0000
0.2500 0.7500 0.5000
```

No. 5
## MgAg3P (PBE-GGA)

Data for MgAg3P after structural relaxation.

Summary:
- Excess energy over the best structure of this formula in the dataset: 0.000 eV per atom
- E: -0.211 Ry/atom
- Total magnetic moment: 0.000 Bohr magnetons per cell
- SG: Pm-3m, No. 221

Geometry as POSCAR:
```
MgAg3P
1.0
4.8264 0.0000 0.0000
0.0000 4.8264 0.0000
0.0000 0.0000 4.8264
Ag Mg P
3 1 1
Direct
0.5000 0.0000 0.0000
0.0000 0.5000 0.0000
0.0000 0.0000 0.5000
0.5000 0.5000 0.5000
0.0000 0.0000 0.0000
```

No. 6
## MgAgP3 (PBE-GGA)

Data for MgAgP3 after structural relaxation.

Summary:
- Excess energy over the best structure of this formula in the dataset: 0.000 eV per atom
- E: -0.234 Ry/atom
- Total magnetic moment: 0.000 Bohr magnetons per cell
- SG: Pm-3m, No. 221

Geometry as POSCAR:
```
MgAgP3
1.0
-4.1271 2.4830 -0.3786
-1.4889 -1.8320 4.2153
2.0228 3.7176 2.3302
P Ag Mg
3 1 1
Direct
0.0000 0.5000 0.0000
0.5000 0.0000 0.0000
0.0000 0.0000 0.5000
0.0000 0.0000 0.0000
0.5000 0.5000 0.5000
```

No. 7
## Mg2AgP (PBE-GGA)

Data for Mg2AgP after structural relaxation.

Summary:
- E: -0.221 Ry/atom
- Total magnetic moment: 0.000 Bohr magnetons per cell
- SG: I-4m2, No. 119

Geometry as POSCAR:
```
Mg2AgP
1.0
-4.6260 2.9032 0.5147
-2.4175 0.3428 4.9123
5.0097 0.6463 -2.1396
P Ag Mg
1 1 2
Direct
0.5000 0.5000 0.0000
0.7500 0.2500 0.5000
0.0000 0.0000 0.0000
0.2500 0.7500 0.5000
```

No. 8
## MgAg2P (PBE-GGA)

Data for MgAg2P after structural relaxation.

Summary:
- Excess energy over the best structure of this formula in the dataset: 0.086 eV per atom
- E: -0.233 Ry/atom
- Total magnetic moment: 0.000 Bohr magnetons per cell
- SG: P2/m, No. 10

Geometry as POSCAR:
```
MgAg2P
1.0
4.8456 0.0000 0.0000
0.0000 3.0911 -0.0165
0.0000 -0.0214 4.7579
Ag Mg P
2 1 1
Direct
0.0000 0.9748 0.0021
0.0000 0.5252 0.4979
0.5000 0.2500 0.2500
0.5000 0.7500 0.7500
```

No. 9
## MgAg2P (PBE-GGA)

Data for MgAg2P after structural relaxation.

Summary:
- Excess energy over the best structure of this formula in the dataset: 0.072 eV per atom
- E: -0.234 Ry/atom
- Total magnetic moment: 0.000 Bohr magnetons per cell
- SG: Imm2, No. 44

Geometry as POSCAR:
```
MgAg2P
1.0
-1.1347 -4.9031 -0.4960
2.9815 -2.7756 2.9967
-2.8703 4.0676 0.8885
Mg Ag P
1 2 1
Direct
0.4997 0.4997 0.0000
0.7502 0.2502 0.5000
0.0005 0.0005 0.0000
0.2496 0.7496 0.5000
```

No. 10
## MgAgP2 (PBE-GGA)

Data for MgAgP2 after structural relaxation.

Summary:
- E: -0.283 Ry/atom
- Total magnetic moment: 0.000 Bohr magnetons per cell
- SG: P2/m, No. 10

Geometry as POSCAR:
```
MgAgP2
1.0
3.8538 0.0000 0.0000
0.0000 3.5364 -0.0970
0.0000 0.7735 5.5119
P Mg Ag
2 1 1
Direct
0.0000 0.2944 0.5526
0.0000 0.2056 0.9474
0.5000 0.7500 0.7500
0.5000 0.2500 0.2500
```

No. 11
## MgAg2P (PBE-GGA)

Data for MgAg2P after structural relaxation.

Summary:
- Excess energy over the best structure of this formula in the dataset: 0.066 eV per atom
- E: -0.234 Ry/atom
- Total magnetic moment: 0.000 Bohr magnetons per cell
- SG: C2/m, No. 12

Geometry as POSCAR:
```
MgAg2P
1.0
5.0696 0.0422 -0.0104
4.1719 2.8806 -0.0104
0.6874 0.2174 4.8332
Mg P Ag
1 1 2
Direct
0.7500 0.7500 0.7500
0.2500 0.2500 0.2500
0.0000 0.0000 0.9978
0.5000 0.5000 0.5022
```

No. 12
## MgAgP2 (PBE-GGA)

Data for MgAgP2 after structural relaxation.

Summary:
- E: -0.268 Ry/atom
- Total magnetic moment: 0.000 Bohr magnetons per cell
- SG: P4/mmm, No. 123

Geometry as POSCAR:
```
MgAgP2
1.0
3.0080 0.0000 0.0000
0.0000 3.0080 0.0000
0.0000 0.0000 7.5599
P Ag Mg
2 1 1
Direct
0.0000 0.0000 0.5127
0.0000 0.0000 0.9873
0.5000 0.5000 0.2500
0.5000 0.5000 0.7500
```

No. 13
## Mg2AgP (PBE-GGA)

Data for Mg2AgP after structural relaxation.

Summary:
- E: -0.226 Ry/atom
- Total magnetic moment: 0.000 Bohr magnetons per cell
- SG: C2/m, No. 12

Geometry as POSCAR:
```
Mg2AgP
1.0
-3.3323 1.2770 1.6728
-0.8755 -1.0348 3.7008
1.5799 5.1150 3.9171
Mg P Ag
2 1 1
Direct
0.5175 0.5175 0.4453
0.9825 0.9825 0.0547
0.2500 0.2500 0.2500
0.7500 0.7500 0.7500
```

No. 14
## MgAg4P (PBE-GGA)

Data for MgAg4P after structural relaxation.

Summary:
- E: -0.211 Ry/atom
- Total magnetic moment: 0.000 Bohr magnetons per cell
- SG: F-43m, No. 216

Geometry as POSCAR:
```
MgAg4P
1.0
1.0476 -0.7489 5.3194
0.4665 4.3172 3.3315
-3.8811 1.0157 3.7229
Ag Mg P
4 1 1
Direct
0.3753 0.3753 0.3753
0.3753 0.8740 0.3753
0.3753 0.3753 0.8740
0.8740 0.3753 0.3753
0.7500 0.7500 0.7500
0.0000 0.0000 0.0000
```

No. 15
## MgAgP2 (PBE-GGA)

Data for MgAgP2 after structural relaxation.

Summary:
- E: -0.272 Ry/atom
- Total magnetic moment: 0.000 Bohr magnetons per cell
- SG: C2/m, No. 12

Geometry as POSCAR:
```
MgAgP2
1.0
6.0182 -0.0413 -0.0926
-2.1636 3.8988 0.0779
1.6910 1.3118 2.9393
P Ag Mg
2 1 1
Direct
0.5000 0.0000 0.5000
0.0000 0.0000 0.0000
0.0000 0.5000 0.5000
0.5000 0.5000 0.0000
```

No. 16
## MgAg3P (PBE-GGA)

Data for MgAg3P after structural relaxation.

Summary:
- Excess energy over the best structure of this formula in the dataset: 0.690 eV per atom
- E: -0.160 Ry/atom
- Total magnetic moment: 0.000 Bohr magnetons per cell
- SG: Pm-3m, No. 221

Geometry as POSCAR:
```
MgAg3P
1.0
4.8529 0.0000 0.0000
0.0000 4.8529 0.0000
0.0000 0.0000 4.8529
Ag P Mg
3 1 1
Direct
0.0000 0.5000 0.0000
0.0000 0.0000 0.5000
0.5000 0.0000 0.0000
0.5000 0.5000 0.5000
0.0000 0.0000 0.0000
```

No. 17
## Mg2AgP (PBE-GGA)

Data for Mg2AgP after structural relaxation.

Summary:
- E: -0.228 Ry/atom
- Total magnetic moment: 0.000 Bohr magnetons per cell
- SG: P4/mmm, No. 123

Geometry as POSCAR:
```
Mg2AgP
1.0
-0.6515 3.9693 -1.7718
-4.3392 -0.7004 0.0194
-0.2214 1.4648 3.3630
P Mg Ag
1 2 1
Direct
0.5000 0.0000 0.5000
0.5000 0.5000 0.0000
0.0000 0.0000 0.0000
0.0000 0.5000 0.5000
```

No. 18
## MgAg2P (PBE-GGA)

Data for MgAg2P after structural relaxation.

Summary:
- Excess energy over the best structure of this formula in the dataset: 0.000 eV per atom
- E: -0.239 Ry/atom
- Total magnetic moment: 0.000 Bohr magnetons per cell
- SG: P4/mmm, No. 123

Geometry as POSCAR:
```
MgAg2P
1.0
-2.7355 0.1222 2.9314
0.4963 -3.9308 0.6270
3.1031 0.8481 2.8604
Ag P Mg
2 1 1
Direct
0.0000 0.0000 0.0000
0.5000 0.5000 0.0000
0.0000 0.5000 0.5000
0.5000 0.0000 0.5000
```

No. 19
## MgAgP2 (PBE-GGA)

Data for MgAgP2 after structural relaxation.

Summary:
- E: -0.279 Ry/atom
- Total magnetic moment: 0.000 Bohr magnetons per cell
- SG: Imm2, No. 44

Geometry as POSCAR:
```
MgAgP2
1.0
5.7872 0.0711 -0.0610
3.3065 4.7501 0.0610
-4.2541 -2.9628 2.5739
Mg P Ag
1 2 1
Direct
0.2447 0.7447 0.5000
0.9396 0.9396 0.0000
0.7712 0.2712 0.5000
0.5444 0.5444 0.0000
```

No. 20
## MgAgP2 (PBE-GGA)

Data for MgAgP2 after structural relaxation.

Summary:
- E: -0.272 Ry/atom
- Total magnetic moment: 0.000 Bohr magnetons per cell
- SG: Pmmm, No. 47

Geometry as POSCAR:
```
MgAgP2
1.0
-4.5364 -1.6595 -0.6347
0.4668 -2.7966 3.9753
-1.0070 2.1334 1.6191
P Mg Ag
2 1 1
Direct
0.0000 0.0000 0.0000
0.5000 0.5000 0.0000
0.0000 0.5000 0.5000
0.5000 0.0000 0.5000
```